(i)
A plane-wave DFT calculation with PBE-GGA was carried out for a geometry-optimized Cr2Ir2N structure.

Summary:
- DOS(E_F): 6.05 states/eV/f.u.
- Magnetic moment: 0.0 μB per cell
- Mass density: 11.67 g/cm³

Unit cell a=3.5162 b=3.5162 c=11.5641 alpha=90.00 beta=90.00 gamma=90.00
Space group I4/mmm (No. 139)
Symmetry-distinct sites (fractional):
Cr: 0.0000 0.0000 0.0918 (multiplicity 4)
Ir: 0.0000 0.5000 0.2500 (multiplicity 4)
N: 0.0000 0.0000 0.5000 (multiplicity 2)

***

(ii)
A plane-wave DFT calculation with PBE-GGA was carried out for a geometry-optimized Cr2Ir2N structure.

Summary:
- DOS(E_F): 5.31 states/eV/f.u.
- Magnetic moment: 3.6 μB per cell
- Mass density: 12.26 g/cm³

Unit cell a=7.0445 b=7.0445 c=2.7426 alpha=90.00 beta=90.00 gamma=90.00
Space group P4/mbm (No. 127)
Symmetry-distinct sites (fractional):
Cr: 0.1666 0.3334 0.0000 (multiplicity 4)
Ir: 0.1320 0.6320 0.5000 (multiplicity 4)
N: 0.0000 0.0000 0.0000 (multiplicity 2)

***

Which is most stable? The ranking, best first, is (ii), (i).

***

(i)
A plane-wave DFT calculation with PBE-GGA was carried out for a geometry-optimized CrIr3N structure.

Summary:
- DOS(E_F): 7.94 states/eV/f.u.
- Magnetic moment: 3.2 μB per cell
- Mass density: 15.69 g/cm³

Unit cell a=4.0818 b=4.0818 c=4.0818 alpha=90.00 beta=90.00 gamma=90.00
Space group Pm-3m (No. 221)
Symmetry-distinct sites (fractional):
Cr: 0.0000 0.0000 0.0000 (multiplicity 1)
Ir: 0.0000 0.5000 0.5000 (multiplicity 3)
N: 0.5000 0.5000 0.5000 (multiplicity 1)

***

(ii)
A plane-wave DFT calculation with PBE-GGA was carried out for a geometry-optimized CrIr3N structure.

Summary:
- DOS(E_F): 7.26 states/eV/f.u.
- Magnetic moment: 3.4 μB per cell
- Mass density: 11.81 g/cm³

Unit cell a=4.4875 b=4.4875 c=4.4875 alpha=90.00 beta=90.00 gamma=90.00
Space group Pm-3m (No. 221)
Symmetry-distinct sites (fractional):
Cr: 0.0000 0.0000 0.0000 (multiplicity 1)
Ir: 0.0000 0.0000 0.5000 (multiplicity 3)
N: 0.5000 0.5000 0.5000 (multiplicity 1)

***

Which is most stable? The ranking, best first, is (i), (ii).

***

(i)
A plane-wave DFT calculation with PBE-GGA was carried out for a geometry-optimized Cr2IrN structure.

Summary:
- DOS(E_F): 2.58 states/eV/f.u.
- Magnetic moment: 8.5 μB per cell
- Mass density: 9.36 g/cm³

Unit cell a=5.0990 b=5.0990 c=8.4676 alpha=90.00 beta=90.00 gamma=90.00
Space group I-42d (No. 122)
Symmetry-distinct sites (fractional):
Cr: 0.1668 0.2500 0.1250 (multiplicity 8)
Ir: 0.0000 0.0000 0.5000 (multiplicity 4)
N: 0.0000 0.0000 0.0000 (multiplicity 4)

***

(ii)
A plane-wave DFT calculation with PBE-GGA was carried out for a geometry-optimized Cr2IrN structure.

Summary:
- DOS(E_F): 4.33 states/eV/f.u.
- Magnetic moment: 5.4 μB per cell
- Mass density: 11.07 g/cm³

Unit cell a=5.7092 b=5.7092 c=5.7092 alpha=90.00 beta=90.00 gamma=90.00
Space group Fm-3m (No. 225)
Symmetry-distinct sites (fractional):
Cr: 0.2500 0.2500 0.2500 (multiplicity 8)
Ir: 0.0000 0.0000 0.0000 (multiplicity 4)
N: 0.0000 0.0000 0.5000 (multiplicity 4)

***

(iii)
A plane-wave DFT calculation with PBE-GGA was carried out for a geometry-optimized Cr2IrN structure.

Summary:
- DOS(E_F): 4.54 states/eV/f.u.
- Magnetic moment: 0.0 μB per cell
- Mass density: 11.74 g/cm³

Unit cell a=2.8158 b=2.8158 c=19.1782 alpha=90.00 beta=90.00 gamma=120.00
Space group R-3m (No. 166, hexagonal axes)
Symmetry-distinct sites (fractional):
Cr: 0.0000 0.0000 0.2207 (multiplicity 6)
Ir: 0.0000 0.0000 0.0000 (multiplicity 3)
N: 0.0000 0.0000 0.5000 (multiplicity 3)

***

Which is most stable? The ranking, best first, is (iii), (i), (ii).

***

(i)
A plane-wave DFT calculation with PBE-GGA was carried out for a geometry-optimized CrIrN2 structure.

Summary:
- DOS(E_F): 2.08 states/eV/f.u.
- Magnetic moment: 5.5 μB per cell
- Mass density: 9.92 g/cm³

Unit cell a=4.5025 b=4.5025 c=8.9889 alpha=90.00 beta=90.00 gamma=90.00
Space group I-42d (No. 122)
Symmetry-distinct sites (fractional):
Cr: 0.0000 0.0000 0.0000 (multiplicity 4)
Ir: 0.0000 0.0000 0.5000 (multiplicity 4)
N: 0.2191 0.2500 0.1250 (multiplicity 8)

***

(ii)
A plane-wave DFT calculation with PBE-GGA was carried out for a geometry-optimized CrIrN2 structure.

Summary:
- DOS(E_F): 2.85 states/eV/f.u.
- Magnetic moment: 0.0 μB per cell
- Mass density: 12.31 g/cm³

Unit cell a=5.2766 b=5.2766 c=5.2766 alpha=90.00 beta=90.00 gamma=90.00
Space group Fm-3m (No. 225)
Symmetry-distinct sites (fractional):
Cr: 0.0000 0.0000 0.0000 (multiplicity 4)
Ir: 0.0000 0.0000 0.5000 (multiplicity 4)
N: 0.2500 0.2500 0.2500 (multiplicity 8)

***

(iii)
A plane-wave DFT calculation with PBE-GGA was carried out for a geometry-optimized CrIrN2 structure.

Summary:
- DOS(E_F): 3.09 states/eV/f.u.
- Magnetic moment: 1.7 μB per cell
- Mass density: 11.19 g/cm³

Unit cell a=2.7180 b=2.7180 c=18.9418 alpha=90.00 beta=90.00 gamma=120.00
Space group R-3m (No. 166, hexagonal axes)
Symmetry-distinct sites (fractional):
Cr: 0.0000 0.0000 0.0000 (multiplicity 3)
Ir: 0.0000 0.0000 0.5000 (multiplicity 3)
N: 0.0000 0.0000 0.3959 (multiplicity 6)

***

Which is most stable? The ranking, best first, is (iii), (i), (ii).

***

(i)
A plane-wave DFT calculation with PBE-GGA was carried out for a geometry-optimized CrTe2IrN structure.

Summary:
- DOS(E_F): 3.35 states/eV/f.u.
- Magnetic moment: 1.2 μB per cell
- Mass density: 9.19 g/cm³

Unit cell a=5.1874 b=5.1874 c=3.4486 alpha=90.00 beta=90.00 gamma=90.00
Space group P4/mmm (No. 123)
Symmetry-distinct sites (fractional):
Cr: 0.0000 0.0000 0.0000 (multiplicity 1)
Te: 0.0000 0.5000 0.0000 (multiplicity 2)
Ir: 0.5000 0.5000 0.5000 (multiplicity 1)
N: 0.0000 0.0000 0.5000 (multiplicity 1)

***

(ii)
A plane-wave DFT calculation with PBE-GGA was carried out for a geometry-optimized CrTe2IrN structure.

Summary:
- DOS(E_F): 4.77 states/eV/f.u.
- Magnetic moment: 0.0 μB per cell
- Mass density: 7.89 g/cm³

Unit cell a=5.4514 b=5.4514 c=3.6347 alpha=90.00 beta=90.00 gamma=90.00
Space group P4/mmm (No. 123)
Symmetry-distinct sites (fractional):
Cr: 0.0000 0.0000 0.0000 (multiplicity 1)
Te: 0.0000 0.5000 0.5000 (multiplicity 2)
Ir: 0.5000 0.5000 0.5000 (multiplicity 1)
N: 0.5000 0.5000 0.0000 (multiplicity 1)

***

Which is most stable? The ranking, best first, is (i), (ii).

***

(i)
A plane-wave DFT calculation with PBE-GGA was carried out for a geometry-optimized Na2CrIr structure.

Summary:
- DOS(E_F): 2.83 states/eV/f.u.
- Magnetic moment: 16.2 μB per cell
- Mass density: 5.64 g/cm³

Unit cell a=8.3200 b=8.3200 c=4.9363 alpha=90.00 beta=90.00 gamma=90.00
Space group I-42d (No. 122)
Symmetry-distinct sites (fractional):
Na: 0.2206 0.2500 0.1250 (multiplicity 8)
Cr: 0.0000 0.0000 0.5000 (multiplicity 4)
Ir: 0.0000 0.0000 0.0000 (multiplicity 4)

***

(ii)
A plane-wave DFT calculation with PBE-GGA was carried out for a geometry-optimized Na2CrIr structure.

Summary:
- DOS(E_F): 2.81 states/eV/f.u.
- Magnetic moment: 18.2 μB per cell
- Mass density: 6.38 g/cm³

Unit cell a=6.7089 b=6.7089 c=6.7089 alpha=90.00 beta=90.00 gamma=90.00
Space group Fm-3m (No. 225)
Symmetry-distinct sites (fractional):
Na: 0.2500 0.2500 0.2500 (multiplicity 8)
Cr: 0.0000 0.0000 0.0000 (multiplicity 4)
Ir: 0.0000 0.0000 0.5000 (multiplicity 4)

***

Which is most stable? The ranking, best first, is (i), (ii).